Entry 1:
This record from Alexandria describes CeSbP2Rh5 after structural relaxation. The functional is PBE.

Summary:
M_tot: 0.7 μB/f.u.
energy relative to the elements, uncorrected: -70.8 kJ per mole of atoms

```
data_CeSbP2Rh5
_cell_length_a 4.035
_cell_length_b 4.035
_cell_length_c 10.250
_cell_angle_alpha 90.00
_cell_angle_beta 90.00
_cell_angle_gamma 90.00
_space_group_name_H-M_alt 'P 4/m m m'
_space_group_IT_number 123
_space_group_name_Hall '-P 4 2'
loop_
_atom_site_label
_atom_site_type_symbol
_atom_site_fract_x
_atom_site_fract_y
_atom_site_fract_z
Ce1 Ce 0.000 0.000 0.000
Sb1 Sb 0.000 0.000 0.500
P1 P 0.500 0.500 0.222
Rh1 Rh 0.000 0.500 0.328
Rh2 Rh 0.500 0.500 0.000
```

***

Entry 2:
This record from Alexandria describes CeScP2Rh5 after structural relaxation. The functional is PBE.

Summary:
formation energy: -0.767 eV/atom
M_tot: 0.7 μB/f.u.

```
data_CeScP2Rh5
_cell_length_a 4.040
_cell_length_b 4.040
_cell_length_c 10.292
_cell_angle_alpha 90.00
_cell_angle_beta 90.00
_cell_angle_gamma 90.00
_space_group_name_H-M_alt 'P 4/m m m'
_space_group_IT_number 123
_space_group_name_Hall '-P 4 2'
loop_
_atom_site_label
_atom_site_type_symbol
_atom_site_fract_x
_atom_site_fract_y
_atom_site_fract_z
Ce1 Ce 0.000 0.000 0.000
Sc1 Sc 0.000 0.000 0.500
P1 P 0.500 0.500 0.222
Rh1 Rh 0.000 0.500 0.320
Rh2 Rh 0.500 0.500 0.000
```

***

Entry 3:
This record from Alexandria describes Ce2ScP3Rh4 after structural relaxation. The functional is PBE.

Summary:
formation energy: -1.113 eV/atom
M_tot: 0.6 μB/f.u.

```
data_Ce2ScP3Rh4
_cell_length_a 3.968
_cell_length_b 3.968
_cell_length_c 10.966
_cell_angle_alpha 90.00
_cell_angle_beta 90.00
_cell_angle_gamma 90.00
_space_group_name_H-M_alt 'P -4 m 2'
_space_group_IT_number 115
_space_group_name_Hall 'P -4 -2'
loop_
_atom_site_label
_atom_site_type_symbol
_atom_site_fract_x
_atom_site_fract_y
_atom_site_fract_z
Ce1 Ce 0.000 0.500 0.231
Sc1 Sc 0.000 0.000 0.500
P1 P 0.000 0.500 0.872
P2 P 0.500 0.500 0.500
Rh1 Rh 0.000 0.000 0.000
Rh2 Rh 0.000 0.500 0.656
Rh3 Rh 0.500 0.500 0.000
```

***

Entry 4:
This record from Alexandria describes Ce2ScP3Rh12 after structural relaxation. The functional is PBE.

Summary:
formation energy: -0.496 eV/atom
M_tot: 0.0 μB/f.u.

```
data_Ce2ScP3Rh12
_cell_length_a 8.6862
_cell_length_b 8.6862
_cell_length_c 13.4826
_cell_angle_alpha 90.00
_cell_angle_beta 90.00
_cell_angle_gamma 120.00
_space_group_name_H-M_alt 'R -3 m'
_space_group_IT_number 166
_space_group_name_Hall '-R 3 2"'
loop_
_atom_site_label
_atom_site_type_symbol
_atom_site_fract_x
_atom_site_fract_y
_atom_site_fract_z
Ce1 Ce 0.0000 0.0000 0.1163
Sc1 Sc 0.0000 0.0000 0.5000
P1 P 0.0000 0.5000 0.0000
Rh1 Rh 0.0206 0.5103 0.8289
Rh2 Rh 0.0421 0.5210 0.3709
```

***

Entry 5:
This record from Alexandria describes Ce3SiP2Rh9 after structural relaxation. The functional is PBE.

Summary:
M_tot: 1.3 μB/f.u.
energy relative to the elements, uncorrected: -65.4 kJ per mole of atoms

```
data_Ce3SiP2Rh9
_cell_length_a 6.8713
_cell_length_b 6.8713
_cell_length_c 6.6894
_cell_angle_alpha 90.00
_cell_angle_beta 90.00
_cell_angle_gamma 120.00
_space_group_name_H-M_alt 'P -3 m 1'
_space_group_IT_number 164
_space_group_name_Hall '-P 3 2"'
loop_
_atom_site_label
_atom_site_type_symbol
_atom_site_fract_x
_atom_site_fract_y
_atom_site_fract_z
Ce1 Ce 0.0000 0.0000 0.0000
Ce2 Ce 0.3333 0.6667 0.6835
Si1 Si 0.0000 0.0000 0.5000
P1 P 0.3333 0.6667 0.1489
Rh1 Rh 0.0000 0.5000 0.0000
Rh2 Rh 0.1860 0.3719 0.3651
```

***

Entry 6:
This record from Alexandria describes Ce2SiPRh6 after structural relaxation. The functional is PBE.

Summary:
M_tot: 0.3 μB/f.u.
energy relative to the elements, uncorrected: -74.1 kJ per mole of atoms

```
data_Ce2SiPRh6
_cell_length_a 5.589
_cell_length_b 8.551
_cell_length_c 7.541
_cell_angle_alpha 90.00
_cell_angle_beta 90.00
_cell_angle_gamma 90.00
_space_group_name_H-M_alt 'P m m n'
_space_group_IT_number 59
loop_
_space_group_symop_operation_xyz
'x,y,z'
'-x,-y,-z'
'-x+1/2,-y+1/2,z'
'x+1/2,y+1/2,-z'
'x+1/2,-y,-z'
'-x+1/2,y,z'
'-x,y+1/2,-z'
'x,-y+1/2,z'
loop_
_atom_site_label
_atom_site_type_symbol
_atom_site_fract_x
_atom_site_fract_y
_atom_site_fract_z
Ce1 Ce 0.250 0.014 0.230
Si1 Si 0.250 0.750 0.767
P1 P 0.250 0.250 0.742
Rh1 Rh 0.003 0.750 0.501
Rh2 Rh 0.006 0.750 0.024
Rh3 Rh 0.250 0.501 0.617
```

***

Mass density values, unit g/cm3, following the record order: 8.3 7.5 8.0 9.3 8.7 8.8.